No. 1
VASP calculation (GGA-PBE) on an optimized crystal structure of Cr2CdSb.

For the energy relative to the lowest polymorph listed for this composition, the calculation gives 285 meV per atom. As for the total magnetization: 20.84 Bohr magnetons per cell. The value obtained for the density of states at the Fermi level is 7.7 states/eV per cell. The formation energy (no corrections) is 543 meV per atom. For the total energy, the calculation gives -22.112 eV per formula unit.

The space group is R-3m (No. 166, hexagonal axes) and the conventional cell measures 3.2927, 3.2927 and 25.3730 Å, with angles of 90.00, 90.00 and 120.00 degrees. Symmetry generates all atoms from Cr at (0.0000, 0.0000, 0.2473), Cd at (0.0000, 0.0000, 0.0000) and Sb at (0.0000, 0.0000, 0.5000).



No. 2
VASP calculation (GGA-PBE) on an optimized crystal structure of Cr2CdSb.

For the energy relative to the lowest polymorph listed for this composition, the calculation gives 152 meV per atom. As for the total magnetization: 0.01 Bohr magnetons per cell. The value obtained for the density of states at the Fermi level is 7.7 states/eV per cell. The formation energy (no corrections) is 410 meV per atom. For the total energy, the calculation gives -22.644 eV per formula unit.

The space group is R3m (No. 160, hexagonal axes) and the conventional cell measures 3.0447, 3.0447 and 27.0669 Å, with angles of 90.00, 90.00 and 120.00 degrees. Symmetry generates all atoms from Cr at (0.0000, 0.0000, 0.0000), Cr at (0.0000, 0.0000, 0.2792), Cd at (0.0000, 0.0000, 0.5260) and Sb at (0.0000, 0.0000, 0.7487).